The following is a DFT calculation (PBE-GGA) of an optimized crystal structure of Tl4Co5.

distance to the lowest polymorph of the same formula = 0.146 eV/atom
density of states at the Fermi level = 15.544 states/eV/f.u.
E = -4.32 eV/atom

a = 7.895 Å, b = 7.895 Å, c = 5.499 Å
α = 90.00°, β = 90.00°, γ = 120.00°
Fractional positions:
Tl: 0.000 0.000 0.000
Tl: 0.000 0.000 0.500
Tl: 0.000 0.375 0.250
Tl: 0.625 0.625 0.250
Tl: 0.375 0.000 0.250
Tl: 0.000 0.625 0.750
Tl: 0.375 0.375 0.750
Tl: 0.625 0.000 0.750
Co: 0.000 0.701 0.250
Co: 0.299 0.299 0.250
Co: 0.701 0.000 0.250
Co: 0.000 0.299 0.750
Co: 0.701 0.701 0.750
Co: 0.299 0.000 0.750
Co: 0.667 0.333 0.000
Co: 0.333 0.667 0.500
Co: 0.333 0.667 0.000
Co: 0.667 0.333 0.500